# Nd11Y9Tm4

A geometry-optimized Nd11Y9Tm4 structure (PBE-GGA, the Alexandria database).

For the formation energy, the calculation gives 1.11 eV per formula unit. As for the total energy: -254.80 eV for the cell shown. The value obtained for the total moment is 0.00 μB per cell.

It has space group Cmmm (No. 65), with a = 17.041 Å, b = 25.841 Å, c = 3.664 Å, α = 90.00°, β = 90.00° and γ = 90.00°. Symmetry generates all atoms from Nd at (0.000, 0.000, 0.000), Nd at (0.000, 0.160, 0.000), Nd at (0.000, 0.369, 0.000), Nd at (0.206, 0.500, 0.000), Nd at (0.225, 0.181, 0.000), Y at (0.000, 0.500, 0.500), Y at (0.102, 0.268, 0.500), Y at (0.142, 0.073, 0.500) and Tm at (0.157, 0.398, 0.500).

# Nd4YTm10

A geometry-optimized Nd4YTm10 structure (PBE-GGA, the Alexandria database).

For the formation energy, the calculation gives 11.60 eV per formula unit. As for the total energy: -117.30 eV for the cell shown. The value obtained for the total moment is 0.00 μB per cell.

It has space group I4/m (No. 87), with a = 12.152 Å, b = 12.152 Å, c = 7.684 Å, α = 90.00°, β = 90.00° and γ = 90.00°. Symmetry generates all atoms from Nd at (0.101, 0.299, 0.000), Y at (0.000, 0.000, 0.500), Tm at (0.000, 0.500, 0.250) and Tm at (0.099, 0.801, 0.251).

# Nd3Y8Tm3

A geometry-optimized Nd3Y8Tm3 structure (PBE-GGA, the Alexandria database).

For the formation energy, the calculation gives 1.60 eV per formula unit. As for the total energy: -155.66 eV for the cell shown. The value obtained for the total moment is 0.00 μB per cell.

It has space group Immm (No. 71), with a = 5.676 Å, b = 10.832 Å, c = 15.052 Å, α = 90.00°, β = 90.00° and γ = 90.00°. Symmetry generates all atoms from Nd at (0.000, 0.000, 0.000), Nd at (0.000, 0.500, 0.319), Y at (0.000, 0.159, 0.279), Y at (0.000, 0.342, 0.102), Tm at (0.000, 0.000, 0.500) and Tm at (0.000, 0.296, 0.500).